BaTaAs2Se: single point on PBEsol structure, meta-GGA SCAN.

The structure belongs to space group P4/mmm (No. 123); the cell edges are 5.460, 5.460 and 5.600 Å and the angles 90.00°, 90.00° and 90.00°. The distinct sites, in fractional coordinates, are Ba at (0.000, 0.000, 0.000), Ta at (0.500, 0.500, 0.500), As at (0.000, 0.500, 0.000) and Se at (0.000, 0.000, 0.500).

As for the size of the total moment: 1.2 μB/f.u. As for the crystal system: tetragonal. As for the formation energy without anion corrections: 1.82 eV/atom. Its mass density is 5.44 g/cm3. The calculation puts the polymorph energy (0 for the lowest one) at 2.6169 eV/atom. Its energy is -157.48 eV for the cell shown.

---

BaTlAsSe2: single point on PBEsol structure, meta-GGA SCAN.

The structure belongs to space group P4/mmm (No. 123); the cell edges are 5.435, 5.435 and 5.181 Å and the angles 90.00°, 90.00° and 90.00°. The distinct sites, in fractional coordinates, are Ba at (0.000, 0.000, 0.000), Tl at (0.500, 0.500, 0.500), As at (0.500, 0.500, 0.000) and Se at (0.000, 0.500, 0.500).

As for the size of the total moment: 1.5 μB/f.u. As for the crystal system: tetragonal. As for the formation energy without anion corrections: -0.44 eV/atom. Its mass density is 6.23 g/cm3. Its energy is -174.43 eV for the cell shown.

---

Ba4SiAs: single point on PBEsol structure, meta-GGA SCAN.

The structure belongs to space group F-43m (No. 216); the cell edges are 9.497, 9.497 and 9.497 Å and the angles 90.00°, 90.00° and 90.00°. The distinct sites, in fractional coordinates, are Ba at (0.125, 0.125, 0.125), Si at (0.000, 0.000, 0.500) and As at (0.250, 0.250, 0.750).

As for the size of the total moment: 0.0 μB/f.u. As for the crystal system: cubic. As for the formation energy without anion corrections: 0.43 eV/atom. Its mass density is 5.06 g/cm3. Its energy is -743.21 eV for the cell shown.

---

Ba2SiAs: single point on PBEsol structure, meta-GGA SCAN.

The structure belongs to space group Cmm2 (No. 35); the cell edges are 5.127, 5.213 and 9.447 Å and the angles 90.00°, 90.00° and 90.00°. The distinct sites, in fractional coordinates, are Ba at (0.000, 0.000, 0.000), Ba at (0.000, 0.500, 0.419), Si at (0.000, 0.000, 0.665) and As at (0.000, 0.500, 0.755).

As for the size of the total moment: 0.1 μB/f.u. As for the crystal system: orthorhombic. As for the formation energy without anion corrections: -0.19 eV/atom. Its mass density is 4.97 g/cm3. The calculation puts the polymorph energy (0 for the lowest one) at 0.1340 eV/atom. Its energy is -220.12 eV for the cell shown.